# In12Hg7Bi2 PBE relaxed
# - ΔE_f: 26 meV/atom
# - Calculated total energy: -2.01 eV/atom
data_In12Hg7Bi2
_symmetry_space_group_name_H-M 'P -6'
_symmetry_Int_Tables_number 174
_cell_length_a 14.3337
_cell_length_b 14.3337
_cell_length_c 3.2708
_cell_angle_alpha 90.00
_cell_angle_beta 90.00
_cell_angle_gamma 120.00
loop_
_symmetry_equiv_pos_as_xyz
'x,y,z'
'-x+y,-x,-z'
'-y,x-y,z'
'x,y,-z'
'-x+y,-x,z'
'-y,x-y,-z'
loop_
_atom_site_label
_atom_site_type_symbol
_atom_site_fract_x
_atom_site_fract_y
_atom_site_fract_z
_atom_site_occupancy
In1 In 0.0422 0.8142 0.0000 1
In2 In 0.1449 0.4399 0.5000 1
In3 In 0.4193 0.2608 0.5000 1
In4 In 0.4965 0.0920 0.0000 1
Hg1 Hg 0.0860 0.6292 0.5000 1
Hg2 Hg 0.2498 0.0391 0.0000 1
Hg3 Hg 0.6667 0.3333 0.5000 1
Bi1 Bi 0.0000 0.0000 0.5000 1
Bi2 Bi 0.3333 0.6667 0.0000 1

# In12Hg4Bi PBE relaxed
# - ΔE_f: 144 meV/atom
# - Calculated total energy: -2.09 eV/atom
data_In12Hg4Bi
_symmetry_space_group_name_H-M 'I m -3'
_symmetry_Int_Tables_number 204
_symmetry_space_group_name_Hall '-I 2 2 3'
_cell_length_a 10.092
_cell_length_b 10.092
_cell_length_c 10.092
_cell_angle_alpha 90.00
_cell_angle_beta 90.00
_cell_angle_gamma 90.00
loop_
_atom_site_label
_atom_site_type_symbol
_atom_site_fract_x
_atom_site_fract_y
_atom_site_fract_z
_atom_site_occupancy
In1 In 0.000 0.347 0.149 1
Hg1 Hg 0.250 0.250 0.250 1
Bi1 Bi 0.000 0.000 0.000 1

# In10Hg6Bi PBE relaxed
# - ΔE_f: 28 meV/atom
# - Calculated total energy: -1.92 eV/atom
data_In10Hg6Bi
_symmetry_space_group_name_H-M 'P -3 1 m'
_symmetry_Int_Tables_number 162
_symmetry_space_group_name_Hall '-P 3 2'
_cell_length_a 8.5986
_cell_length_b 8.5986
_cell_length_c 7.3875
_cell_angle_alpha 90.00
_cell_angle_beta 90.00
_cell_angle_gamma 120.00
loop_
_atom_site_label
_atom_site_type_symbol
_atom_site_fract_x
_atom_site_fract_y
_atom_site_fract_z
_atom_site_occupancy
In1 In 0.0000 0.2476 0.1725 1
In2 In 0.3333 0.6667 0.0000 1
In3 In 0.3333 0.6667 0.5000 1
Hg1 Hg 0.0000 0.4037 0.7236 1
Bi1 Bi 0.0000 0.0000 0.5000 1